Entry 1:
# LaScZn3

A relaxed structure of LaScZn3 (PBE-GGA, the Alexandria database).

Properties
As for the formation energy: -1.6 eV per formula unit. The density is 5.9 g/cm³.

abc: 3.476 27.002 4.547
angles: 90.00 90.00 90.00
Space group Cmcm (No. 63)
One atom of each set of equivalent atoms:
1 La 0.000 0.077 0.250 (multiplicity 4)
2 Sc 0.000 0.213 0.750 (multiplicity 4)
3 Zn 0.000 0.318 0.750 (multiplicity 4)
4 Zn 0.000 0.372 0.250 (multiplicity 4)
5 Zn 0.000 0.476 0.250 (multiplicity 4)

Entry 2:
# La2ScZn

A relaxed structure of La2ScZn (PBE-GGA, the Alexandria database).

Properties
As for the formation energy: -0.3 eV per formula unit. The density is 5.6 g/cm³.

abc: 5.032 3.600 12.693
angles: 90.00 90.00 90.00
Space group Amm2 (No. 38)
One atom of each set of equivalent atoms:
1 La 0.000 0.000 0.000 (multiplicity 2)
2 La 0.500 0.000 0.317 (multiplicity 2)
3 Sc 0.500 0.000 0.598 (multiplicity 2)
4 Zn 0.000 0.000 0.718 (multiplicity 2)

Entry 3:
# LaSc2Zn

A relaxed structure of LaSc2Zn (PBE-GGA, the Alexandria database).

Properties
As for the formation energy: -0.4 eV per formula unit. The density is 4.8 g/cm³.

abc: 3.489 3.489 8.288
angles: 90.00 90.00 90.00
Space group P4mm (No. 99)
One atom of each set of equivalent atoms:
1 La 0.000 0.000 0.000 (multiplicity 1)
2 Sc 0.000 0.000 0.564 (multiplicity 1)
3 Sc 0.500 0.500 0.316 (multiplicity 1)
4 Zn 0.500 0.500 0.738 (multiplicity 1)

Entry 4:
# La4ScZn

A relaxed structure of La4ScZn (PBE-GGA, the Alexandria database).

Properties
As for the formation energy: -0.4 eV per formula unit. The density is 5.9 g/cm³.

abc: 3.709 3.709 13.703
angles: 90.00 90.00 90.00
Space group P4/mmm (No. 123)
One atom of each set of equivalent atoms:
1 La 0.000 0.000 0.139 (multiplicity 2)
2 La 0.500 0.500 0.334 (multiplicity 2)
3 Sc 0.000 0.000 0.500 (multiplicity 1)
4 Zn 0.500 0.500 0.000 (multiplicity 1)

Entry 5:
# LaScZn4

A relaxed structure of LaScZn4 (PBE-GGA, the Alexandria database).

Properties
As for the formation energy: -1.8 eV per formula unit. The density is 6.4 g/cm³.

abc: 7.728 7.728 7.728
angles: 90.00 90.00 90.00
Space group F-43m (No. 216)
One atom of each set of equivalent atoms:
1 La 0.000 0.000 0.000 (multiplicity 4)
2 Sc 0.250 0.250 0.250 (multiplicity 4)
3 Zn 0.124 0.124 0.624 (multiplicity 16)

Entry 6:
# La2ScZn9

A relaxed structure of La2ScZn9 (PBE-GGA, the Alexandria database).

Properties
As for the formation energy: -2.8 eV per formula unit. The density is 6.6 g/cm³.

abc: 5.4647 5.4647 26.4446
angles: 90.00 90.00 120.00
Space group R-3m (No. 166, hexagonal axes)
One atom of each set of equivalent atoms:
1 La 0.0000 0.0000 0.1414 (multiplicity 6)
2 Sc 0.0000 0.0000 0.0000 (multiplicity 3)
3 Zn 0.0000 0.0000 0.3346 (multiplicity 6)
4 Zn 0.0000 0.0000 0.5000 (multiplicity 3)
5 Zn 0.0033 0.5016 0.9217 (multiplicity 18)

Entry 7:
# LaScZn4

A relaxed structure of LaScZn4 (PBE-GGA, the Alexandria database).

Properties
As for the formation energy: -2.2 eV per formula unit. The density is 6.0 g/cm³.

abc: 4.4226 4.4226 7.2795
angles: 90.00 90.00 120.00
Space group P6/mmm (No. 191)
One atom of each set of equivalent atoms:
1 La 0.0000 0.0000 0.0000 (multiplicity 1)
2 Sc 0.0000 0.0000 0.5000 (multiplicity 1)
3 Zn 0.3333 0.6667 0.3003 (multiplicity 4)

Entry 8:
# LaSc2Zn

A relaxed structure of LaSc2Zn (PBE-GGA, the Alexandria database).

Properties
As for the formation energy: -0.3 eV per formula unit. The density is 4.9 g/cm³.

abc: 12.132 3.561 5.033
angles: 90.00 114.44 90.00
Space group Cm (No. 8)
One atom of each set of equivalent atoms:
1 La 0.000 0.000 0.000 (multiplicity 2)
2 Sc 0.070 0.500 0.570 (multiplicity 2)
3 Sc 0.286 0.500 0.287 (multiplicity 2)
4 Zn 0.261 0.000 0.764 (multiplicity 2)